No. 1
The following is a PBE-GGA calculation of crystalline Hf2HN at its relaxed geometry, from the Alexandria database.

Crystal system = tetragonal
Calculated volume = 14.076 Å³/atom
SG = I-42d (122)
DFT total energy = -8.693 eV per atom

a = 5.017 Å, b = 5.017 Å, c = 5.710 Å
α = 63.94°, β = 63.94°, γ = 90.00°
Sites, in units of the cell vectors:
Hf1 0.120 0.625 0.250
Hf2 0.875 0.880 0.750
Hf3 0.375 0.370 0.750
Hf4 0.630 0.125 0.250
H1 0.250 0.750 0.500
H2 0.500 0.500 0.000
N1 0.000 0.000 0.000
N2 0.750 0.250 0.500

No. 2
The following is a PBE-GGA calculation of crystalline HfHN at its relaxed geometry, from the Alexandria database.

Crystal system = cubic
Calculated volume = 10.226 Å³/atom
SG = F-43m (216)
DFT total energy = -8.404 eV per atom

a = 3.514 Å, b = 3.514 Å, c = 3.514 Å
α = 60.00°, β = 60.00°, γ = 60.00°
Sites, in units of the cell vectors:
Hf1 0.250 0.250 0.250
N1 0.000 0.000 0.000
H1 0.500 0.500 0.500

No. 3
The following is a PBE-GGA calculation of crystalline Hf3H2N at its relaxed geometry, from the Alexandria database.

Crystal system = monoclinic
Calculated volume = 12.760 Å³/atom
SG = P2_1/m (11)
DFT total energy = -8.189 eV per atom

a = 3.104 Å, b = 6.028 Å, c = 8.259 Å
α = 97.73°, β = 90.00°, γ = 90.00°
Sites, in units of the cell vectors:
Hf1 0.250 0.065 0.331
Hf2 0.750 0.741 0.986
Hf3 0.750 0.563 0.326
Hf4 0.250 0.437 0.674
Hf5 0.750 0.935 0.669
Hf6 0.250 0.259 0.014
H1 0.750 0.069 0.911
H2 0.250 0.404 0.427
H3 0.750 0.596 0.573
H4 0.250 0.931 0.089
N1 0.750 0.226 0.201
N2 0.250 0.774 0.799

No. 4
The following is a PBE-GGA calculation of crystalline Hf4HN at its relaxed geometry, from the Alexandria database.

Crystal system = tetragonal
Calculated volume = 15.920 Å³/atom
SG = I4_1md (109)
DFT total energy = -9.337 eV per atom

a = 6.289 Å, b = 6.289 Å, c = 6.289 Å
α = 107.87°, β = 107.87°, γ = 112.72°
Sites, in units of the cell vectors:
Hf1 0.699 0.490 0.209
Hf2 0.260 0.037 0.222
Hf3 0.240 0.531 0.291
Hf4 0.787 0.510 0.722
Hf5 0.281 0.490 0.791
Hf6 0.787 0.065 0.278
Hf7 0.815 0.037 0.778
Hf8 0.240 0.949 0.709
H1 0.681 0.681 0.000
H2 0.431 0.931 0.500
N1 0.263 0.263 0.000
N2 0.013 0.513 0.500

No. 5
The following is a PBE-GGA calculation of crystalline Hf4H3N at its relaxed geometry, from the Alexandria database.

Crystal system = orthorhombic
Calculated volume = 13.192 Å³/atom
SG = Pmn2_1 (31)
DFT total energy = -7.813 eV per atom

a = 5.423 Å, b = 5.555 Å, c = 7.007 Å
α = 90.00°, β = 90.00°, γ = 90.00°
Sites, in units of the cell vectors:
H1 0.988 0.667 0.264
H2 0.488 0.333 0.236
H3 0.488 0.333 0.764
H4 0.978 0.144 0.500
H5 0.478 0.856 0.000
H6 0.988 0.667 0.736
Hf1 0.164 0.804 0.500
Hf2 0.612 0.682 0.768
Hf3 0.601 0.196 0.500
Hf4 0.101 0.804 0.000
Hf5 0.112 0.318 0.268
Hf6 0.664 0.196 0.000
Hf7 0.612 0.682 0.232
Hf8 0.112 0.318 0.732
N1 0.572 0.832 0.500
N2 0.072 0.168 0.000

No. 6
The following is a PBE-GGA calculation of crystalline Hf5H2N2 at its relaxed geometry, from the Alexandria database.

Crystal system = orthorhombic
Calculated volume = 14.151 Å³/atom
SG = Ima2 (46)
DFT total energy = -8.930 eV per atom

a = 5.112 Å, b = 6.458 Å, c = 8.746 Å
α = 111.67°, β = 106.99°, γ = 90.00°
Sites, in units of the cell vectors:
Hf1 0.596 0.319 0.736
Hf2 0.008 0.486 0.500
Hf3 0.795 0.230 0.098
Hf4 0.205 0.133 0.902
Hf5 0.404 0.584 0.264
Hf6 0.197 0.633 0.902
Hf7 0.640 0.819 0.736
Hf8 0.803 0.730 0.098
Hf9 0.992 0.986 0.500
Hf10 0.360 0.084 0.264
N1 0.000 0.938 0.000
N2 0.500 0.438 0.000
N3 0.298 0.256 0.500
N4 0.702 0.756 0.500
H1 0.352 0.045 0.699
H2 0.847 0.545 0.699
H3 0.648 0.346 0.301
H4 0.153 0.846 0.301

No. 7
The following is a PBE-GGA calculation of crystalline HfH3N at its relaxed geometry, from the Alexandria database.

Crystal system = cubic
Calculated volume = 7.096 Å³/atom
SG = Pm-3m (221)
DFT total energy = -4.855 eV per atom

a = 3.286 Å, b = 3.286 Å, c = 3.286 Å
α = 90.00°, β = 90.00°, γ = 90.00°
Sites, in units of the cell vectors:
H1 0.000 0.500 0.000
H2 0.000 0.000 0.500
H3 0.500 0.000 0.000
Hf1 0.500 0.500 0.500
N1 0.000 0.000 0.000

No. 8
The following is a PBE-GGA calculation of crystalline Hf2HN2 at its relaxed geometry, from the Alexandria database.

Crystal system = monoclinic
Calculated volume = 11.657 Å³/atom
SG = P2_1/m (11)
DFT total energy = -9.297 eV per atom

a = 3.307 Å, b = 4.377 Å, c = 8.335 Å
α = 104.95°, β = 90.00°, γ = 90.00°
Sites, in units of the cell vectors:
N1 0.250 0.386 0.777
N2 0.750 0.801 0.604
N3 0.250 0.199 0.396
N4 0.750 0.614 0.223
H1 0.750 0.957 0.940
H2 0.250 0.043 0.060
Hf1 0.250 0.697 0.392
Hf2 0.750 0.303 0.608
Hf3 0.750 0.100 0.195
Hf4 0.250 0.900 0.805

No. 9
The following is a PBE-GGA calculation of crystalline HfHN2 at its relaxed geometry, from the Alexandria database.

Crystal system = cubic
Calculated volume = 8.866 Å³/atom
SG = Fm-3m (225)
DFT total energy = -7.248 eV per atom

a = 3.688 Å, b = 3.688 Å, c = 3.688 Å
α = 60.00°, β = 60.00°, γ = 60.00°
Sites, in units of the cell vectors:
Hf1 0.500 0.500 0.500
N1 0.250 0.250 0.250
N2 0.750 0.750 0.750
H1 0.000 0.000 0.000

No. 10
The following is a PBE-GGA calculation of crystalline HfHN2 at its relaxed geometry, from the Alexandria database.

Crystal system = trigonal
Calculated volume = 11.047 Å³/atom
SG = R-3m (166)
DFT total energy = -8.078 eV per atom

a = 5.010 Å, b = 5.010 Å, c = 5.010 Å
α = 38.70°, β = 38.70°, γ = 38.70°
Sites, in units of the cell vectors:
N1 0.091 0.091 0.091
N2 0.909 0.909 0.909
H1 0.000 0.000 0.000
Hf1 0.500 0.500 0.500

No. 11
The following is a PBE-GGA calculation of crystalline Hf2HN at its relaxed geometry, from the Alexandria database.

Crystal system = cubic
Calculated volume = 11.527 Å³/atom
SG = Fm-3m (225)
DFT total energy = -7.966 eV per atom

a = 4.025 Å, b = 4.025 Å, c = 4.025 Å
α = 60.00°, β = 60.00°, γ = 60.00°
Sites, in units of the cell vectors:
H1 0.000 0.000 0.000
Hf1 0.750 0.750 0.750
Hf2 0.250 0.250 0.250
N1 0.500 0.500 0.500

No. 12
The following is a PBE-GGA calculation of crystalline Hf4HN2 at its relaxed geometry, from the Alexandria database.

Crystal system = tetragonal
Calculated volume = 15.563 Å³/atom
SG = I4/mmm (139)
DFT total energy = -8.830 eV per atom

a = 4.117 Å, b = 4.117 Å, c = 7.055 Å
α = 73.03°, β = 73.03°, γ = 90.00°
Sites, in units of the cell vectors:
Hf1 0.745 0.745 0.511
Hf2 0.255 0.255 0.489
Hf3 0.500 0.000 0.000
Hf4 0.000 0.500 0.000
N1 0.407 0.407 0.187
N2 0.593 0.593 0.813
H1 0.000 0.000 0.000

No. 13
The following is a PBE-GGA calculation of crystalline Hf2H3N at its relaxed geometry, from the Alexandria database.

Crystal system = cubic
Calculated volume = 9.772 Å³/atom
SG = Pn-3m (224)
DFT total energy = -7.083 eV per atom

a = 4.895 Å, b = 4.895 Å, c = 4.895 Å
α = 90.02°, β = 90.02°, γ = 89.97°
Sites, in units of the cell vectors:
H1 0.750 0.250 0.250
H2 0.750 0.750 0.750
H3 0.250 0.750 0.750
H4 0.250 0.750 0.250
H5 0.750 0.250 0.750
H6 0.250 0.250 0.250
N1 0.250 0.250 0.750
N2 0.750 0.750 0.250
Hf1 0.500 0.500 0.000
Hf2 0.000 0.000 0.000
Hf3 0.000 0.500 0.500
Hf4 0.500 0.000 0.500

No. 14
The following is a PBE-GGA calculation of crystalline Hf4HN2 at its relaxed geometry, from the Alexandria database.

Crystal system = orthorhombic
Calculated volume = 13.267 Å³/atom
SG = Cmmm (65)
DFT total energy = -9.633 eV per atom

a = 3.192 Å, b = 5.563 Å, c = 5.563 Å
α = 109.94°, β = 90.00°, γ = 90.00°
Sites, in units of the cell vectors:
Hf1 0.000 0.255 0.745
Hf2 0.500 0.755 0.755
Hf3 0.500 0.245 0.245
Hf4 0.000 0.745 0.255
H1 0.000 0.000 0.000
N1 0.500 0.500 0.000
N2 0.500 0.000 0.500

No. 15
The following is a PBE-GGA calculation of crystalline Hf4HN2 at its relaxed geometry, from the Alexandria database.

Crystal system = orthorhombic
Calculated volume = 13.449 Å³/atom
SG = Fddd (70)
DFT total energy = -9.660 eV per atom

a = 6.429 Å, b = 6.429 Å, c = 6.437 Å
α = 120.00°, β = 119.99°, γ = 89.94°
Sites, in units of the cell vectors:
Hf1 0.377 0.622 0.244
Hf2 0.378 0.623 0.756
Hf3 0.383 0.128 0.256
Hf4 0.378 0.133 0.756
Hf5 0.867 0.622 0.244
Hf6 0.872 0.617 0.744
Hf7 0.873 0.128 0.256
Hf8 0.872 0.127 0.744
H1 0.250 0.750 0.500
H2 0.000 0.000 0.000
N1 0.625 0.375 0.250
N2 0.625 0.875 0.250
N3 0.125 0.375 0.750
N4 0.625 0.375 0.750

No. 16
The following is a PBE-GGA calculation of crystalline HfHN at its relaxed geometry, from the Alexandria database.

Crystal system = trigonal
Calculated volume = 10.677 Å³/atom
SG = R-3m (166)
DFT total energy = -8.329 eV per atom

a = 3.577 Å, b = 3.577 Å, c = 6.139 Å
α = 73.06°, β = 73.06°, γ = 60.00°
Sites, in units of the cell vectors:
H1 0.864 0.864 0.409
H2 0.136 0.136 0.591
N1 0.614 0.614 0.157
N2 0.386 0.386 0.843
Hf1 0.257 0.257 0.228
Hf2 0.743 0.743 0.772

No. 17
The following is a PBE-GGA calculation of crystalline Hf2HN at its relaxed geometry, from the Alexandria database.

Crystal system = trigonal
Calculated volume = 13.756 Å³/atom
SG = R-3m (166)
DFT total energy = -8.606 eV per atom

a = 3.220 Å, b = 3.220 Å, c = 6.405 Å
α = 75.44°, β = 75.44°, γ = 60.00°
Sites, in units of the cell vectors:
Hf1 0.903 0.903 0.291
Hf2 0.097 0.097 0.709
H1 0.000 0.000 0.000
N1 0.500 0.500 0.500

No. 18
The following is a PBE-GGA calculation of crystalline Hf3H2N2 at its relaxed geometry, from the Alexandria database.

Crystal system = monoclinic
Calculated volume = 11.883 Å³/atom
SG = P2_1/c (14)
DFT total energy = -8.461 eV per atom

a = 5.936 Å, b = 5.589 Å, c = 5.497 Å
α = 90.00°, β = 65.80°, γ = 90.00°
Sites, in units of the cell vectors:
Hf1 0.704 0.960 0.697
Hf2 0.000 0.000 0.000
Hf3 0.796 0.460 0.303
Hf4 0.204 0.540 0.697
Hf5 0.296 0.040 0.303
Hf6 0.500 0.500 0.000
N1 0.157 0.331 0.060
N2 0.843 0.669 0.940
N3 0.657 0.169 0.060
N4 0.343 0.831 0.940
H1 0.540 0.301 0.632
H2 0.040 0.199 0.632
H3 0.960 0.801 0.368
H4 0.460 0.699 0.368

No. 19
The following is a PBE-GGA calculation of crystalline HfHN2 at its relaxed geometry, from the Alexandria database.

Crystal system = tetragonal
Calculated volume = 10.813 Å³/atom
SG = I-42d (122)
DFT total energy = -7.227 eV per atom

a = 4.059 Å, b = 4.059 Å, c = 5.983 Å
α = 70.17°, β = 70.17°, γ = 90.00°
Site moments in Bohr magnetons follow the coordinates.
Sites, in units of the cell vectors:
Hf1 0.000 0.000 0.000  0.06
Hf2 0.750 0.250 0.500  0.07
H1 0.250 0.750 0.500  -0.02
H2 0.500 0.500 0.000  -0.02
N1 0.875 0.827 0.750  0.37
N2 0.173 0.625 0.250  0.35
N3 0.577 0.125 0.250  0.35
N4 0.375 0.423 0.750  0.39

No. 20
The following is a PBE-GGA calculation of crystalline Hf6HN2 at its relaxed geometry, from the Alexandria database.

Crystal system = monoclinic
Calculated volume = 15.715 Å³/atom
SG = C2/c (15)
DFT total energy = -9.722 eV per atom

a = 4.514 Å, b = 8.608 Å, c = 8.608 Å
α = 108.47°, β = 105.35°, γ = 105.35°
Sites, in units of the cell vectors:
Hf1 0.625 0.702 0.542
Hf2 0.865 0.128 0.614
Hf3 0.875 0.458 0.298
Hf4 0.135 0.872 0.386
Hf5 0.635 0.386 0.872
Hf6 0.615 0.035 0.211
Hf7 0.375 0.298 0.458
Hf8 0.115 0.211 0.035
Hf9 0.385 0.965 0.789
Hf10 0.365 0.614 0.128
Hf11 0.125 0.542 0.702
Hf12 0.885 0.789 0.965
N1 0.129 0.704 0.547
N2 0.871 0.296 0.453
N3 0.371 0.453 0.296
N4 0.629 0.547 0.704
H1 0.750 0.829 0.171
H2 0.250 0.171 0.829

No. 21
The following is a PBE-GGA calculation of crystalline HfHN at its relaxed geometry, from the Alexandria database.

Crystal system = tetragonal
Calculated volume = 9.277 Å³/atom
SG = I4mm (107)
DFT total energy = -7.790 eV per atom

a = 2.993 Å, b = 2.993 Å, c = 3.759 Å
α = 113.47°, β = 113.47°, γ = 90.00°
Sites, in units of the cell vectors:
N1 0.965 0.965 0.930
H1 0.283 0.283 0.566
Hf1 0.602 0.602 0.204

No. 22
The following is a PBE-GGA calculation of crystalline HfHN at its relaxed geometry, from the Alexandria database.

Crystal system = orthorhombic
Calculated volume = 8.927 Å³/atom
SG = Cmcm (63)
DFT total energy = -7.465 eV per atom

a = 3.044 Å, b = 3.501 Å, c = 5.581 Å
α = 90.00°, β = 90.00°, γ = 115.77°
Sites, in units of the cell vectors:
Hf1 0.000 0.000 0.500
Hf2 0.000 0.000 0.000
N1 0.694 0.387 0.250
N2 0.306 0.613 0.750
H1 0.395 0.790 0.250
H2 0.605 0.210 0.750

No. 23
The following is a PBE-GGA calculation of crystalline Hf2HN2 at its relaxed geometry, from the Alexandria database.

Crystal system = monoclinic
Calculated volume = 11.658 Å³/atom
SG = C2/m (12)
DFT total energy = -9.304 eV per atom

a = 4.453 Å, b = 5.582 Å, c = 6.634 Å
α = 125.74°, β = 90.00°, γ = 113.51°
Sites, in units of the cell vectors:
Hf1 0.163 0.327 0.532
Hf2 0.609 0.218 0.823
Hf3 0.837 0.673 0.468
Hf4 0.391 0.782 0.177
N1 0.892 0.785 0.191
N2 0.337 0.674 0.450
N3 0.108 0.215 0.809
N4 0.663 0.326 0.550
H1 0.389 0.779 0.872
H2 0.611 0.221 0.128

No. 24
The following is a PBE-GGA calculation of crystalline Hf2HN at its relaxed geometry, from the Alexandria database.

Crystal system = trigonal
Calculated volume = 13.909 Å³/atom
SG = R3m (160)
DFT total energy = -8.751 eV per atom

a = 3.337 Å, b = 3.337 Å, c = 6.079 Å
α = 74.10°, β = 74.10°, γ = 60.03°
Sites, in units of the cell vectors:
Hf1 0.117 0.562 0.545
Hf2 0.616 0.061 0.052
N1 0.733 0.178 0.698
H1 0.238 0.683 0.183